## Cs2Tl2VSe4 (GGA-PBE)

Data for crystalline Cs2Tl2VSe4 at its relaxed geometry.

Summary:
- ΔE_f (raw): -0.6654 eV per atom
- Calculated volume: 33.212 Å³ per atom
- Energy: -3.9427 eV/atom

Cell lengths 12.5025, 8.1724, 5.9345 Å; angles 90.00, 99.63, 90.00 degrees
Last column: nearest neighbours and their distance in Å.
Space group C2/m (No. 12)
Inequivalent atoms, fractional coordinates:
Cs 0.1385 0.0000 0.2798  8 Se 3.70-3.89, 2 Tl 4.01-4.05
Tl 0.1405 0.5000 0.1369  2 Se 2.89, 1 V 3.00
V 0.0000 0.5000 0.5000  4 Se 2.46
Se 0.0940 0.2839 0.7469  1 V 2.46